No. 1
K2Zn3BiF12 (GGA-PBE, relaxed); symmetry = R-3m; density of states at the Fermi level = 0.46 states/eV per atom; calculated volume = 300.7 Å³/cell; formation energy (no corrections) = -2.34 eV/atom; magnetization = 0.00 μB per atom; crystal system = trigonal
1.0
3.745 2.162 6.187
-3.745 2.162 6.187
0.000 -4.325 6.187
K Zn Bi F
2 3 1 12
Direct
0.117 0.117 0.117 K
0.883 0.883 0.883 K
0.000 0.500 0.500 Zn
0.500 0.000 0.500 Zn
0.500 0.500 0.000 Zn
0.500 0.500 0.500 Bi
0.132 0.604 0.604 F
0.201 0.201 0.593 F
0.201 0.593 0.201 F
0.396 0.396 0.868 F
0.396 0.868 0.396 F
0.407 0.799 0.799 F
0.593 0.201 0.201 F
0.604 0.132 0.604 F
0.604 0.604 0.132 F
0.799 0.407 0.799 F
0.799 0.799 0.407 F
0.868 0.396 0.396 F

No. 2
LaBi2F (GGA-PBE, relaxed); symmetry = I-42d; density of states at the Fermi level = 0.61 states/eV per atom; calculated volume = 270.2 Å³/cell; ΔE to the lowest computed polymorph = 0.349 eV/f.u.; formation energy (no corrections) = -0.66 eV/atom; magnetization = 0.00 μB per atom; crystal system = tetragonal
1.0
-2.891 2.891 8.080
2.891 -2.891 8.080
2.891 2.891 -8.080
La Bi F
2 4 2
Direct
0.000 0.000 0.000 La
0.750 0.250 0.500 La
0.271 0.625 0.146 Bi
0.375 0.521 0.646 Bi
0.479 0.125 0.854 Bi
0.875 0.729 0.354 Bi
0.250 0.750 0.500 F
0.500 0.500 0.000 F

formation energy (no corrections) of number 2 (LaBi2F)?
-0.66 eV/atom

Which of these has the lowest calculated volume?
LaBi2F